Record 1
{
  "formula": "Ho4TeAuSe2",
  "functional": "PBE",
  "state": "relaxed",
  "lattice": [[4.043, 0.000, 0.000], [0.000, 7.353, -0.254], [0.000, 2.483, 6.807]],
  "species": ["Se", "Se", "Ho", "Ho", "Ho", "Ho", "Te", "Au"],
  "fractional_positions": [[0.000, 0.000, 0.000], [0.500, 0.000, 0.500], [0.500, 0.750, 0.263], [0.000, 0.235, 0.267], [0.000, 0.765, 0.733], [0.500, 0.250, 0.737], [0.500, 0.500, 0.000], [0.000, 0.500, 0.500]],
  "space_group": "No. 10",
  "raw_formation_energy_ev_per_fu": -11.01
}

---

Record 2
{
  "formula": "Ho6Te2AuSe3",
  "functional": "PBE",
  "state": "relaxed",
  "lattice": [[7.265, 0.009, 0.002], [-3.623, 6.297, 0.002], [-1.213, -2.100, 6.790]],
  "species": ["Ho", "Ho", "Ho", "Ho", "Ho", "Ho", "Se", "Se", "Se", "Te", "Te", "Au"],
  "fractional_positions": [[0.084, 0.399, 0.256], [0.916, 0.601, 0.744], [0.224, 0.224, 0.735], [0.601, 0.916, 0.744], [0.399, 0.084, 0.256], [0.776, 0.776, 0.265], [0.822, 0.178, 0.500], [0.178, 0.822, 0.500], [0.500, 0.500, 0.500], [0.336, 0.664, 0.000], [0.664, 0.336, 0.000], [0.000, 0.000, 0.000]],
  "space_group": "No. 12",
  "raw_formation_energy_ev_per_fu": -17.13
}

---

Record 3
{
  "formula": "Ho8Te4Au3Se",
  "functional": "PBE",
  "state": "relaxed",
  "lattice": [[-1.343, -8.069, 1.806], [7.625, -0.344, 4.133], [-5.591, 5.795, 2.308]],
  "species": ["Au", "Au", "Au", "Te", "Te", "Te", "Te", "Ho", "Ho", "Ho", "Ho", "Ho", "Ho", "Ho", "Ho", "Se"],
  "fractional_positions": [[0.000, 0.500, 0.500], [0.500, 0.500, 0.500], [0.500, 0.500, 0.000], [0.500, 0.000, 0.000], [0.000, 0.000, 0.500], [0.500, 0.000, 0.500], [0.000, 0.000, 0.000], [0.756, 0.272, 0.016], [0.739, 0.728, 0.984], [0.244, 0.728, 0.488], [0.244, 0.728, 0.984], [0.259, 0.278, 0.518], [0.741, 0.722, 0.482], [0.756, 0.272, 0.512], [0.261, 0.272, 0.016], [0.000, 0.500, 0.000]],
  "space_group": "No. 166",
  "raw_formation_energy_ev_per_fu": -18.51
}

---

Record 4
{
  "formula": "Ho6TeAu2Se3",
  "functional": "PBE",
  "state": "relaxed",
  "lattice": [[4.043, 0.000, 0.000], [0.000, 8.515, -0.039], [-2.022, -2.810, 8.833]],
  "species": ["Ho", "Ho", "Ho", "Ho", "Ho", "Ho", "Te", "Se", "Se", "Se", "Au", "Au"],
  "fractional_positions": [[0.989, 0.727, 0.979], [0.011, 0.273, 0.021], [0.324, 0.880, 0.648], [0.676, 0.120, 0.352], [0.340, 0.394, 0.680], [0.660, 0.606, 0.320], [0.500, 0.000, 0.000], [0.842, 0.144, 0.683], [0.500, 0.500, 0.000], [0.158, 0.856, 0.317], [0.819, 0.627, 0.639], [0.181, 0.373, 0.361]],
  "space_group": "No. 12",
  "raw_formation_energy_ev_per_fu": -16.23
}

---

Record 5
{
  "formula": "Ho6TlAu2Se3",
  "functional": "PBE",
  "state": "relaxed",
  "lattice": [[-2.060, 3.216, 1.114], [-7.007, -4.979, 1.415], [6.398, -0.852, 7.190]],
  "species": ["Ho", "Ho", "Ho", "Ho", "Ho", "Ho", "Se", "Se", "Se", "Au", "Au", "Tl"],
  "fractional_positions": [[0.005, 0.733, 0.011], [0.672, 0.073, 0.345], [0.329, 0.430, 0.658], [0.328, 0.927, 0.655], [0.995, 0.267, 0.989], [0.671, 0.570, 0.342], [0.500, 0.500, 0.000], [0.833, 0.178, 0.666], [0.167, 0.822, 0.334], [0.158, 0.310, 0.315], [0.842, 0.690, 0.685], [0.500, 0.000, 0.000]],
  "space_group": "No. 12",
  "raw_formation_energy_ev_per_fu": -14.13
}

---

Record 6
{
  "formula": "Ho2Si3Au6",
  "functional": "PBE",
  "state": "relaxed",
  "lattice": [[4.346, 0.000, 0.000], [0.000, 6.561, -3.788], [0.000, 0.000, 7.576]],
  "species": ["Au", "Au", "Au", "Au", "Au", "Au", "Si", "Si", "Si", "Ho", "Ho"],
  "fractional_positions": [[0.500, 0.674, 0.674], [0.500, 0.326, 0.000], [0.500, 0.000, 0.326], [0.000, 0.781, 0.000], [0.000, 0.000, 0.781], [0.000, 0.219, 0.219], [0.500, 0.000, 0.642], [0.500, 0.358, 0.358], [0.500, 0.642, 0.000], [0.000, 0.667, 0.333], [0.000, 0.333, 0.667]],
  "space_group": "No. 189",
  "raw_formation_energy_ev_per_fu": -5.71
}

---

Record 7
{
  "formula": "Ho2SiAu3",
  "functional": "PBE",
  "state": "relaxed",
  "lattice": [[-2.929, -1.359, 1.300], [-0.626, -2.275, -3.789], [4.197, -6.167, 3.010]],
  "species": ["Au", "Au", "Au", "Ho", "Ho", "Si"],
  "fractional_positions": [[0.500, 0.500, 0.642], [0.500, 0.000, 0.186], [0.500, 0.000, 0.842], [0.000, 0.500, 0.995], [0.000, 0.000, 0.505], [0.500, 0.500, 0.329]],
  "space_group": "No. 25",
  "raw_formation_energy_ev_per_fu": -4.73
}

---

Record 8
{
  "formula": "Ho2Si3Au5",
  "functional": "PBE",
  "state": "relaxed",
  "lattice": [[4.299, 0.000, -0.732], [0.000, 7.068, 0.000], [-0.098, 0.000, 12.408]],
  "species": ["Au", "Au", "Au", "Au", "Au", "Au", "Au", "Au", "Au", "Au", "Ho", "Ho", "Ho", "Ho", "Si", "Si", "Si", "Si", "Si", "Si"],
  "fractional_positions": [[0.400, 0.422, 0.799], [0.877, 0.719, 0.754], [0.717, 0.009, 0.434], [0.123, 0.219, 0.246], [0.304, 0.915, 0.607], [0.052, 0.566, 0.105], [0.948, 0.066, 0.895], [0.283, 0.509, 0.566], [0.696, 0.415, 0.393], [0.600, 0.922, 0.201], [0.520, 0.260, 0.039], [0.826, 0.239, 0.651], [0.480, 0.760, 0.961], [0.174, 0.739, 0.349], [0.953, 0.467, 0.905], [0.229, 0.205, 0.459], [0.395, 0.063, 0.789], [0.605, 0.563, 0.211], [0.771, 0.705, 0.541], [0.047, 0.967, 0.095]],
  "space_group": "No. 36",
  "raw_formation_energy_ev_per_fu": -5.41
}

---

Record 9
{
  "formula": "Ho5Si2Au2",
  "functional": "PBE",
  "state": "relaxed",
  "lattice": [[7.019, 0.000, 2.548], [0.000, 7.452, 0.000], [0.882, 0.000, 8.511]],
  "species": ["Si", "Si", "Si", "Si", "Ho", "Ho", "Ho", "Ho", "Ho", "Ho", "Ho", "Ho", "Ho", "Ho", "Au", "Au", "Au", "Au"],
  "fractional_positions": [[0.619, 0.121, 0.000], [0.119, 0.379, 0.000], [0.381, 0.879, 0.000], [0.881, 0.621, 0.000], [0.688, 0.328, 0.268], [0.456, 0.172, 0.732], [0.812, 0.828, 0.732], [0.544, 0.828, 0.268], [0.044, 0.672, 0.268], [0.000, 0.000, 0.000], [0.312, 0.672, 0.732], [0.500, 0.500, 0.000], [0.188, 0.172, 0.268], [0.956, 0.328, 0.732], [0.292, 0.500, 0.417], [0.792, 0.000, 0.417], [0.708, 0.500, 0.583], [0.208, 0.000, 0.583]],
  "space_group": "No. 64",
  "raw_formation_energy_ev_per_fu": -6.94
}

---

Record 10
{
  "formula": "Ho3Si5Au6",
  "functional": "PBE",
  "state": "relaxed",
  "lattice": [[4.213, 0.000, 0.000], [0.000, 9.785, 0.000], [0.000, 0.000, 12.705]],
  "species": ["Si", "Si", "Si", "Si", "Si", "Si", "Si", "Si", "Si", "Si", "Au", "Au", "Au", "Au", "Au", "Au", "Au", "Au", "Au", "Au", "Au", "Au", "Ho", "Ho", "Ho", "Ho", "Ho", "Ho"],
  "fractional_positions": [[0.500, 0.462, 0.622], [0.000, 0.792, 0.000], [0.000, 0.538, 0.122], [0.500, 0.208, 0.500], [0.000, 0.538, 0.878], [0.500, 0.141, 0.838], [0.500, 0.462, 0.378], [0.000, 0.859, 0.338], [0.500, 0.141, 0.162], [0.000, 0.859, 0.662], [0.500, 0.981, 0.000], [0.000, 0.612, 0.684], [0.500, 0.005, 0.339], [0.000, 0.456, 0.500], [0.000, 0.995, 0.839], [0.500, 0.388, 0.184], [0.500, 0.005, 0.661], [0.500, 0.544, 0.000], [0.000, 0.612, 0.316], [0.000, 0.019, 0.500], [0.500, 0.388, 0.816], [0.000, 0.995, 0.161], [0.500, 0.756, 0.174], [0.500, 0.746, 0.500], [0.500, 0.756, 0.826], [0.000, 0.244, 0.674], [0.000, 0.254, 0.000], [0.000, 0.244, 0.326]],
  "space_group": "No. 59",
  "raw_formation_energy_ev_per_fu": -7.45
}

---

Record 11
{
  "formula": "Ho3Si3Au2",
  "functional": "PBE",
  "state": "relaxed",
  "lattice": [[-0.778, -3.610, 2.156], [5.230, 0.014, -2.331], [5.212, 5.883, 11.730]],
  "species": ["Ho", "Ho", "Ho", "Ho", "Ho", "Ho", "Au", "Au", "Au", "Au", "Si", "Si", "Si", "Si", "Si", "Si"],
  "fractional_positions": [[0.363, 0.726, 0.750], [0.637, 0.274, 0.250], [0.081, 0.162, 0.615], [0.919, 0.838, 0.385], [0.081, 0.162, 0.885], [0.919, 0.838, 0.115], [0.210, 0.420, 0.095], [0.790, 0.580, 0.595], [0.210, 0.420, 0.405], [0.790, 0.580, 0.905], [0.600, 0.199, 0.459], [0.600, 0.199, 0.041], [0.400, 0.801, 0.541], [0.649, 0.297, 0.750], [0.400, 0.801, 0.959], [0.351, 0.703, 0.250]],
  "space_group": "No. 63",
  "raw_formation_energy_ev_per_fu": -6.27
}

---

Record 12
{
  "formula": "Ho2Si2Au3",
  "functional": "PBE",
  "state": "relaxed",
  "lattice": [[-1.992, -3.166, -1.605], [4.410, -1.766, 3.172], [-4.242, 0.271, 4.732]],
  "species": ["Ho", "Ho", "Au", "Au", "Au", "Si", "Si"],
  "fractional_positions": [[0.632, 0.265, 0.327], [0.368, 0.735, 0.673], [0.691, 0.381, 0.847], [0.309, 0.619, 0.153], [0.000, 0.000, 0.000], [0.082, 0.163, 0.645], [0.918, 0.837, 0.355]],
  "space_group": "No. 12",
  "raw_formation_energy_ev_per_fu": -4.76
}

---

Record 13
{
  "formula": "Ho3Si2Au4",
  "functional": "PBE",
  "state": "relaxed",
  "lattice": [[4.440, 0.000, 0.000], [-2.220, 4.973, -1.752], [0.000, -0.572, 8.604]],
  "species": ["Ho", "Ho", "Ho", "Au", "Au", "Au", "Au", "Si", "Si"],
  "fractional_positions": [[0.651, 0.303, 0.681], [0.000, 0.000, 0.000], [0.349, 0.697, 0.319], [0.709, 0.418, 0.063], [0.914, 0.827, 0.593], [0.086, 0.173, 0.407], [0.291, 0.582, 0.937], [0.369, 0.738, 0.701], [0.631, 0.262, 0.299]],
  "space_group": "No. 12",
  "raw_formation_energy_ev_per_fu": -7.15
}

---

Record 14
{
  "formula": "HoTl2Si2Au7",
  "functional": "PBE",
  "state": "relaxed",
  "lattice": [[4.582, -0.159, -0.228], [-0.154, 4.582, -0.228], [1.451, 1.449, 12.833]],
  "species": ["Au", "Au", "Au", "Au", "Au", "Au", "Au", "Ho", "Si", "Si", "Tl", "Tl"],
  "fractional_positions": [[0.521, 0.080, 0.845], [0.412, 0.412, 0.408], [0.920, 0.479, 0.155], [0.080, 0.521, 0.845], [0.479, 0.920, 0.155], [0.500, 0.500, 0.000], [0.588, 0.588, 0.592], [0.000, 0.000, 0.000], [0.612, 0.612, 0.775], [0.388, 0.388, 0.225], [0.100, 0.100, 0.624], [0.900, 0.900, 0.376]],
  "space_group": "No. 12",
  "raw_formation_energy_ev_per_fu": -2.72
}

---

Record 15
{
  "formula": "HoZn2SiAu4",
  "functional": "PBE",
  "state": "relaxed",
  "lattice": [[-3.195, 2.211, 2.114], [0.045, 0.270, 4.415], [3.700, 8.165, 1.679]],
  "species": ["Zn", "Zn", "Au", "Au", "Au", "Au", "Si", "Ho"],
  "fractional_positions": [[0.253, 0.253, 0.240], [0.747, 0.747, 0.760], [0.869, 0.869, 0.392], [0.605, 0.605, 0.186], [0.395, 0.395, 0.814], [0.131, 0.131, 0.608], [0.500, 0.500, 0.500], [0.000, 0.000, 0.000]],
  "space_group": "No. 166",
  "raw_formation_energy_ev_per_fu": -2.52
}

---

Record 16
{
  "formula": "SmHo2Au",
  "functional": "PBE",
  "state": "relaxed",
  "lattice": [[3.618, 0.000, 0.000], [0.000, 3.618, 0.000], [0.000, 0.000, 8.529]],
  "species": ["Ho", "Ho", "Sm", "Au"],
  "fractional_positions": [[0.000, 0.000, 0.797], [0.000, 0.000, 0.203], [0.500, 0.500, 0.500], [0.500, 0.500, 0.000]],
  "formation_energy_ev_per_atom": -0.41,
  "e_above_lowest_polymorph_ev_per_atom": 0.030,
  "space_group": "No. 123"
}

---

Record 17
{
  "formula": "Sm2HoAu",
  "functional": "PBE",
  "state": "relaxed",
  "lattice": [[-3.446, 1.287, 0.523], [-1.872, -5.113, 0.245], [0.804, -0.036, 5.391]],
  "species": ["Au", "Sm", "Sm", "Ho"],
  "fractional_positions": [[0.500, 0.000, 0.000], [0.000, 0.000, 0.500], [0.000, 0.500, 0.000], [0.500, 0.500, 0.500]],
  "formation_energy_ev_per_atom": -0.24,
  "e_above_lowest_polymorph_ev_per_atom": 0.178,
  "space_group": "No. 123"
}

---

Record 18
{
  "formula": "SmHo2Au",
  "functional": "PBE",
  "state": "relaxed",
  "lattice": [[-2.063, -3.014, 0.853], [0.821, -2.034, 3.042], [-6.390, 3.926, 6.662]],
  "species": ["Ho", "Ho", "Sm", "Au"],
  "fractional_positions": [[0.068, 0.068, 0.796], [0.265, 0.265, 0.205], [0.501, 0.501, 0.497], [0.666, 0.666, 0.002]],
  "formation_energy_ev_per_atom": -0.29,
  "e_above_lowest_polymorph_ev_per_atom": 0.143,
  "space_group": "No. 160"
}

---

Record 19
{
  "formula": "SmHo2Au2",
  "functional": "PBE",
  "state": "relaxed",
  "lattice": [[-1.104, -2.772, -2.342], [2.227, -5.596, 5.575], [-7.529, 0.248, 3.256]],
  "species": ["Sm", "Sm", "Au", "Au", "Au", "Au", "Ho", "Ho", "Ho", "Ho"],
  "fractional_positions": [[0.500, 0.500, 0.000], [0.500, 0.000, 0.500], [0.500, 0.868, 0.132], [0.500, 0.632, 0.632], [0.500, 0.368, 0.368], [0.500, 0.132, 0.868], [0.000, 0.662, 0.338], [0.000, 0.162, 0.162], [0.000, 0.838, 0.838], [0.000, 0.338, 0.662]],
  "formation_energy_ev_per_atom": -0.69,
  "e_above_lowest_polymorph_ev_per_atom": 0.000,
  "space_group": "No. 127"
}

---

Record 20
{
  "formula": "SmHoAu2",
  "functional": "PBE",
  "state": "relaxed",
  "lattice": [[-0.166, -3.584, 0.299], [2.684, -0.323, -2.377], [4.893, 0.233, 5.493]],
  "species": ["Sm", "Au", "Au", "Ho"],
  "fractional_positions": [[0.500, 0.500, 0.500], [0.000, 0.000, 0.767], [0.000, 0.000, 0.233], [0.500, 0.500, 0.000]],
  "formation_energy_ev_per_atom": -0.84,
  "space_group": "No. 123"
}

---

Calculated magnetic moment in order - 0.00 0.00 0.00 0.00 0.00 0.00 0.00 0.00 0.00 0.00 1.22 0.00 0.00 0.00 0.00 0.00 0.00 0.00 0.00 0.00 Bohr magnetons per cell